The following is a DFT calculation (PBE-GGA) of a geometry-optimized La3HoGe4 structure.

Energy relative to the elements in eV per atom: -0.705
Theoretical density in g/cm³: 6.3
Crystal system: orthorhombic

```
data_La3HoGe4
_cell_length_a 4.305
_cell_length_b 6.459
_cell_length_c 16.587
_cell_angle_alpha 90.00
_cell_angle_beta 90.00
_cell_angle_gamma 90.00
_space_group_name_H-M_alt 'I m m m'
_space_group_IT_number 71
_space_group_name_Hall '-I 2 2'
loop_
_atom_site_label
_atom_site_fract_x
_atom_site_fract_y
_atom_site_fract_z
La1 0.000 0.000 0.000
La2 0.000 0.500 0.197
Ho1 0.000 0.000 0.500
Ge1 0.000 0.306 0.372
```

The following is a DFT calculation (PBE-GGA) of a geometry-optimized Li2YTe structure.

Formation energy (no corrections) in eV per atom: -0.516
Theoretical density in g/cm³: 3.9
Crystal system: monoclinic
Polymorph energy (0 for the lowest one) in meV/atom: 72

```
data_Li2YTe
_cell_length_a 3.917
_cell_length_b 4.814
_cell_length_c 5.178
_cell_angle_alpha 90.00
_cell_angle_beta 94.54
_cell_angle_gamma 90.00
_space_group_name_H-M_alt 'P 1 2/m 1'
_space_group_IT_number 10
loop_
_space_group_symop_operation_xyz
'x,y,z'
'-x,-y,-z'
'-x,y,-z'
'x,-y,z'
loop_
_atom_site_label
_atom_site_fract_x
_atom_site_fract_y
_atom_site_fract_z
Li1 0.068 0.000 0.252
Y1 0.500 0.500 0.000
Te1 0.000 0.500 0.500
```

The following is a DFT calculation (PBE-GGA) of a geometry-optimized BeCr2 structure.

Energy relative to the elements in eV per atom: 0.710
Theoretical density in g/cm³: 5.4
Crystal system: tetragonal

```
data_BeCr2
_cell_length_a 3.953
_cell_length_b 3.953
_cell_length_c 2.233
_cell_angle_alpha 90.00
_cell_angle_beta 90.00
_cell_angle_gamma 90.00
_space_group_name_H-M_alt 'P 4/m m m'
_space_group_IT_number 123
_space_group_name_Hall '-P 4 2'
loop_
_atom_site_label
_atom_site_fract_x
_atom_site_fract_y
_atom_site_fract_z
Be1 0.000 0.000 0.000
Cr1 0.000 0.500 0.500
```

The following is a DFT calculation (PBE-GGA) of a geometry-optimized BaTiGe2 structure.

Energy relative to the elements in eV per atom: -0.325
Theoretical density in g/cm³: 5.3
Crystal system: trigonal
Polymorph energy (0 for the lowest one) in meV/atom: 0

```
data_BaTiGe2
_cell_length_a 4.3300
_cell_length_b 4.3300
_cell_length_c 19.2983
_cell_angle_alpha 90.00
_cell_angle_beta 90.00
_cell_angle_gamma 120.00
_space_group_name_H-M_alt 'R -3 m'
_space_group_IT_number 166
_space_group_name_Hall '-R 3 2"'
loop_
_atom_site_label
_atom_site_fract_x
_atom_site_fract_y
_atom_site_fract_z
Ba1 0.0000 0.0000 0.0000
Ti1 0.0000 0.0000 0.5000
Ge1 0.0000 0.0000 0.2157
```